Record 1
A relaxed KZnCuSb2 crystal, computed with PBE-GGA.

Properties
* energy relative to the elements, uncorrected: -0.16 eV per atom
* DOS(E_F): 0.310 states/eV/atom
* E_tot: -0.2279 Ry per atom
* V: 128.0 Å³/f.u.
* space group: I-4m2 (119)

Lattice parameters (Å, degrees): 4.704 4.704 6.673 110.64 110.64 90.00
Fractional coordinates of all 5 atoms:
K: 0.000 0.000 0.000
Zn: 0.750 0.250 0.500
Sb: 0.369 0.369 0.739
Sb: 0.631 0.631 0.261
Cu: 0.250 0.750 0.500

=====

Record 2
A relaxed KScCu3 crystal, computed with PBE-GGA.

Properties
* DOS(E_F): 0.638 states/eV/atom
* E_tot: -0.1893 Ry per atom
* V: 118.9 Å³/f.u.
* energy of formation from the pure elements: 1368 meV/atom
* space group: Pm-3m (221)

Lattice parameters (Å, degrees): 4.917 4.917 4.917 90.00 90.00 90.00
Fractional coordinates of all 5 atoms:
Cu: 0.500 0.000 0.000
Cu: 0.000 0.500 0.000
Cu: 0.000 0.000 0.500
K: 0.000 0.000 0.000
Sc: 0.500 0.500 0.500

=====

Record 3
A relaxed K3ScCu crystal, computed with PBE-GGA.

Properties
* DOS(E_F): 1.303 states/eV/atom
* E_tot: -0.1471 Ry per atom
* V: 251.4 Å³/f.u.
* energy of formation from the pure elements: 743 meV/atom
* space group: Pm-3m (221)

Lattice parameters (Å, degrees): 6.311 6.311 6.311 90.00 90.00 90.00
Fractional coordinates of all 5 atoms:
Sc: 0.500 0.500 0.500
Cu: 0.000 0.000 0.000
K: 0.000 0.000 0.500
K: 0.000 0.500 0.000
K: 0.500 0.000 0.000

=====

Record 4
A relaxed KScCu crystal, computed with PBE-GGA.

Properties
* DOS(E_F): 1.312 states/eV/atom
* E_tot: -0.2398 Ry per atom
* V: 94.0 Å³/f.u.
* energy of formation from the pure elements: 578 meV/atom
* space group: P3m1 (156)

Lattice parameters (Å, degrees): 4.524 4.524 5.304 90.00 90.00 120.00
Fractional coordinates of all 3 atoms:
K: 0.667 0.333 0.333
Sc: 0.333 0.667 0.833
Cu: 0.000 0.000 0.835

=====

Record 5
A relaxed K3ScCu crystal, computed with PBE-GGA.

Properties
* DOS(E_F): 2.232 states/eV/atom
* E_tot: -0.1166 Ry per atom
* V: 334.1 Å³/f.u.
* energy of formation from the pure elements: 1158 meV/atom
* space group: Pm-3m (221)

Lattice parameters (Å, degrees): 6.939 6.939 6.939 90.00 90.00 90.00
Fractional coordinates of all 5 atoms:
K: 0.000 0.000 0.500
K: 0.500 0.000 0.000
K: 0.000 0.500 0.000
Cu: 0.500 0.500 0.500
Sc: 0.000 0.000 0.000

=====

Record 6
A relaxed KScCu crystal, computed with PBE-GGA.

Properties
* DOS(E_F): 1.105 states/eV/atom
* E_tot: -0.1874 Ry per atom
* V: 86.1 Å³/f.u.
* energy of formation from the pure elements: 1293 meV/atom
* space group: F-43m (216)

Lattice parameters (Å, degrees): 4.956 4.956 4.956 60.00 60.00 60.00
Fractional coordinates of all 3 atoms:
K: 0.750 0.750 0.750
Sc: 0.000 0.000 0.000
Cu: 0.500 0.500 0.500

=====

Record 7
A relaxed KSc2Cu2 crystal, computed with PBE-GGA.

Properties
* DOS(E_F): 1.488 states/eV/atom
* E_tot: -0.2932 Ry per atom
* V: 132.5 Å³/f.u.
* energy of formation from the pure elements: 402 meV/atom
* space group: I4/mmm (139)

Lattice parameters (Å, degrees): 4.875 4.875 6.553 68.16 68.16 90.00
Fractional coordinates of all 5 atoms:
Cu: 0.250 0.750 0.500
Cu: 0.750 0.250 0.500
Sc: 0.342 0.342 0.316
Sc: 0.658 0.658 0.684
K: 0.000 0.000 0.000

=====

Record 8
A relaxed KScCu3 crystal, computed with PBE-GGA.

Properties
* DOS(E_F): 0.550 states/eV/atom
* E_tot: -0.2403 Ry per atom
* V: 133.6 Å³/f.u.
* energy of formation from the pure elements: 675 meV/atom
* space group: Pm-3m (221)

Lattice parameters (Å, degrees): 5.112 5.112 5.112 90.00 90.00 90.00
Fractional coordinates of all 5 atoms:
Cu: 0.500 0.000 0.000
Cu: 0.000 0.500 0.000
Cu: 0.000 0.000 0.500
Sc: 0.000 0.000 0.000
K: 0.500 0.500 0.500

=====

Record 9
A relaxed K4ScCu crystal, computed with PBE-GGA.

Properties
* DOS(E_F): 1.202 states/eV/atom
* E_tot: -0.1206 Ry per atom
* V: 294.8 Å³/f.u.
* energy of formation from the pure elements: 829 meV/atom
* space group: F-43m (216)

Lattice parameters (Å, degrees): 7.471 7.471 7.471 60.00 60.00 60.00
Fractional coordinates of all 6 atoms:
K: 0.374 0.374 0.877
K: 0.374 0.877 0.374
K: 0.374 0.374 0.374
K: 0.877 0.374 0.374
Sc: 0.750 0.750 0.750
Cu: 0.000 0.000 0.000

=====

Record 10
A relaxed KScCu crystal, computed with PBE-GGA.

Properties
* DOS(E_F): 1.354 states/eV/atom
* E_tot: -0.2288 Ry per atom
* V: 87.3 Å³/f.u.
* energy of formation from the pure elements: 729 meV/atom
* space group: F-43m (216)

Lattice parameters (Å, degrees): 4.980 4.980 4.980 60.00 60.00 60.00
Fractional coordinates of all 3 atoms:
K: 0.000 0.000 0.000
Cu: 0.750 0.750 0.750
Sc: 0.500 0.500 0.500

=====

Record 11
A relaxed KScCu crystal, computed with PBE-GGA.

Properties
* DOS(E_F): 1.235 states/eV/atom
* E_tot: -0.2523 Ry per atom
* V: 89.0 Å³/f.u.
* energy of formation from the pure elements: 409 meV/atom
* space group: P3m1 (156)

Lattice parameters (Å, degrees): 3.645 3.645 7.738 90.00 90.00 120.00
Fractional coordinates of all 3 atoms:
K: 0.333 0.667 0.292
Sc: 0.667 0.333 0.754
Cu: 0.000 0.000 0.954

=====

Record 12
A relaxed KScCu crystal, computed with PBE-GGA.

Properties
* DOS(E_F): 1.144 states/eV/atom
* E_tot: -0.2631 Ry per atom
* V: 84.3 Å³/f.u.
* energy of formation from the pure elements: 262 meV/atom
* space group: I4mm (107)

Lattice parameters (Å, degrees): 7.476 7.476 3.453 76.64 76.64 26.71
Fractional coordinates of all 3 atoms:
Sc: 0.613 0.613 0.387
Cu: 0.032 0.032 0.968
K: 0.355 0.355 0.645

=====

Record 13
A relaxed KScCuSe2 crystal, computed with PBE-GGA.

Properties
* energy relative to the elements, uncorrected: -0.97 eV per atom
* DOS(E_F): 0.532 states/eV/atom
* E_tot: -0.3434 Ry per atom
* V: 132.4 Å³/f.u.
* space group: P2/c (13)

Lattice parameters (Å, degrees): 4.564 7.676 7.642 98.32 90.00 90.00
Fractional coordinates of all 10 atoms:
Cu: 0.000 0.000 0.000
Cu: 0.000 0.000 0.500
Se: 0.344 0.769 0.468
Se: 0.344 0.231 0.032
Se: 0.656 0.231 0.532
Se: 0.656 0.769 0.968
Sc: 0.496 0.000 0.250
Sc: 0.504 0.000 0.750
K: 0.150 0.500 0.750
K: 0.850 0.500 0.250